First-principles (GGA-PBE) data for a relaxed structure of La5Ga2N2, as listed in the Alexandria database.

abc: 4.9751 4.9751 9.7734
angles: 90.00 90.00 90.00
Last column: nearest neighbours and their distance in Å.
Fractional coordinates of all 9 atoms:
La (0.5000, 0.0000, 0.7884)  2 N 2.52
La (0.5000, 0.5000, 0.5000)  2 N 2.40
N (0.5000, 0.5000, 0.2544)  5 La 2.40-2.52
N (0.5000, 0.5000, 0.7456)  5 La 2.40-2.52
La (0.0000, 0.5000, 0.7884)  2 N 2.52
Ga (0.0000, 0.0000, 0.5000)  12 La 3.52-3.76
La (0.0000, 0.5000, 0.2116)  2 N 2.52
La (0.5000, 0.0000, 0.2116)  2 N 2.52
Ga (0.0000, 0.0000, 0.0000)  8 La 3.23

Output
SG: P4/mmm
Uncorrected formation energy: -7.0 eV/f.u.

***

First-principles (GGA-PBE) data for a relaxed structure of NiWCSe2, as listed in the Alexandria database.

abc: 4.5098 3.5747 4.5098
angles: 90.00 90.00 90.00
Last column: nearest neighbours and their distance in Å.
Fractional coordinates of all 5 atoms:
C (0.0000, 0.0000, 0.0000)  2 Ni 1.79
Se (0.5000, 0.0000, 0.0000)  2 C 2.25
Se (0.0000, 0.0000, 0.5000)  2 C 2.25
Ni (0.0000, 0.5000, 0.0000)  2 C 1.79
W (0.5000, 0.5000, 0.5000)  8 Se 2.88, 4 Ni 3.19

Output
SG: P4/mmm
Uncorrected formation energy: 6.1 eV/f.u.

***

First-principles (GGA-PBE) data for a relaxed structure of NdMgPa, as listed in the Alexandria database.

abc: 5.0033 5.7075 11.8905
angles: 146.94 114.89 64.00
Last column: nearest neighbours and their distance in Å.
Fractional coordinates of all 6 atoms:
Mg (0.9883, 0.0093, 0.2429)  5 Pa 3.28-3.52, 3 Nd 3.28-3.37, 2 Mg 3.30-3.37
Pa (0.6365, 0.3540, 0.0635)  1 Pa 2.72
Nd (0.3265, 0.6303, 0.3917)  1 Pa 3.14, 3 Mg 3.28-3.37, 3 Nd 3.45-3.50
Mg (0.0117, 0.9907, 0.7571)  5 Pa 3.28-3.52, 3 Nd 3.28-3.37, 2 Mg 3.30-3.37
Nd (0.6735, 0.3697, 0.6083)  1 Pa 3.14, 3 Mg 3.28-3.37, 3 Nd 3.45-3.50
Pa (0.3635, 0.6460, 0.9365)  1 Pa 2.72

Output
SG: C2/m

***

DFT total energy
In order: -6.037; -5.769; -5.060
Unit: eV/atom